MnSi3Hg | GGA-PBE | optimized geometry

Results
formation energy without anion corrections = 0.291 eV/atom
DOS(E_F) = 3.37 states/eV/cell
excess energy over the best structure of this formula in the dataset = 0.000 eV/atom

Geometry as CIF:
```
data_MnSi3Hg
_chemical_formula_sum 'Mn1 Si3 Hg1'
_cell_length_a 4.499
_cell_length_b 4.499
_cell_length_c 4.499
_cell_angle_alpha 90.00
_cell_angle_beta 90.00
_cell_angle_gamma 90.00
_space_group_name_H-M_alt 'P 1'
_space_group_IT_number 1
_space_group_name_Hall 'P 1'
loop_
_atom_site_label
_atom_site_fract_x
_atom_site_fract_y
_atom_site_fract_z
Si1 0.000 0.500 0.000
Si2 0.000 0.000 0.500
Si3 0.500 0.000 0.000
Mn1 0.000 0.000 0.000
Hg1 0.500 0.500 0.500
```